Entry 1:
BiPb2Se (PBE, relaxed); E_form (uncorrected) = -0.14 eV per atom; crystal system = trigonal; Fermi-level density of states = 3.1 states/eV/cell; symmetry = R-3m, No. 166
1.0
2.162 1.248 7.987
-2.162 1.248 7.987
0.000 -2.497 7.987
Bi Pb Se
1 2 1
direct
0.000 0.000 0.000
0.242 0.242 0.242
0.758 0.758 0.758
0.500 0.500 0.500

Entry 2:
BiPb2Se (PBE, relaxed); E_form (uncorrected) = -0.19 eV per atom; crystal system = monoclinic; Fermi-level density of states = 4.6 states/eV/cell; symmetry = P2/c, No. 13
1.0
6.318 0.000 0.000
0.000 6.596 0.000
-6.143 0.000 12.571
Bi Pb Se
4 8 4
direct
0.103 0.140 0.107
0.103 0.860 0.607
0.897 0.140 0.393
0.897 0.860 0.893
0.143 0.350 0.634
0.143 0.650 0.134
0.387 0.253 0.383
0.387 0.747 0.883
0.613 0.253 0.117
0.613 0.747 0.617
0.857 0.350 0.866
0.857 0.650 0.366
0.379 0.305 0.876
0.379 0.695 0.376
0.621 0.305 0.624
0.621 0.695 0.124

Entry 3:
Bi2PbSe4 (PBE, relaxed); E_form (uncorrected) = -0.41 eV per atom; crystal system = orthorhombic; symmetry = Cmcm, No. 63
1.0
2.104 -6.949 0.000
2.104 6.949 0.000
0.000 0.000 14.439
Bi Pb Se
4 2 8
direct
0.138 0.862 0.565
0.138 0.862 0.935
0.862 0.138 0.065
0.862 0.138 0.435
0.404 0.596 0.750
0.596 0.404 0.250
0.048 0.952 0.750
0.227 0.773 0.119
0.227 0.773 0.381
0.500 0.500 0.000
0.500 0.500 0.500
0.773 0.227 0.619
0.773 0.227 0.881
0.952 0.048 0.250